Entry 1:
# PrFeTc | the Open Quantum Materials Database | PBE | relaxed
data_PrFeTc
_cell_length_a 6.282
_cell_length_b 6.282
_cell_length_c 6.282
_cell_angle_alpha 90.00
_cell_angle_beta 90.00
_cell_angle_gamma 90.00
_space_group_name_H-M_alt 'F -4 3 m'
_space_group_IT_number 216
_space_group_name_Hall 'F -4 2 3'
loop_
_atom_site_label
_atom_site_fract_x
_atom_site_fract_y
_atom_site_fract_z
Pr1 0.000 0.000 0.000
Fe1 0.250 0.250 0.250
Tc1 0.000 0.000 0.500
# Energy of formation (meV per atom): 727
# Offset from the most stable computed form (kJ/mol of formula units): 0
# Calculated volume (A^3/atom): 20.66

Entry 2:
# PrFeW | the Open Quantum Materials Database | PBE | relaxed
data_PrFeW
_cell_length_a 6.317
_cell_length_b 6.317
_cell_length_c 6.317
_cell_angle_alpha 90.00
_cell_angle_beta 90.00
_cell_angle_gamma 90.00
_space_group_name_H-M_alt 'F -4 3 m'
_space_group_IT_number 216
_space_group_name_Hall 'F -4 2 3'
loop_
_atom_site_label
_atom_site_fract_x
_atom_site_fract_y
_atom_site_fract_z
Pr1 0.000 0.000 0.000
Fe1 0.250 0.250 0.250
W1 0.000 0.000 0.500
# Energy of formation (meV per atom): 964
# Offset from the most stable computed form (kJ/mol of formula units): 0
# Calculated volume (A^3/atom): 21.01

Entry 3:
# PrFeW | the Open Quantum Materials Database | PBE | relaxed
data_PrFeW
_cell_length_a 6.323
_cell_length_b 6.323
_cell_length_c 6.323
_cell_angle_alpha 90.00
_cell_angle_beta 90.00
_cell_angle_gamma 90.00
_space_group_name_H-M_alt 'F -4 3 m'
_space_group_IT_number 216
_space_group_name_Hall 'F -4 2 3'
loop_
_atom_site_label
_atom_site_fract_x
_atom_site_fract_y
_atom_site_fract_z
Pr1 0.000 0.000 0.000
Fe1 0.250 0.250 0.250
W1 0.250 0.250 0.750
# Energy of formation (meV per atom): 2082
# Offset from the most stable computed form (kJ/mol of formula units): 324
# Calculated volume (A^3/atom): 21.07

Entry 4:
# PrZnFe | the Open Quantum Materials Database | PBE | relaxed
data_PrZnFe
_cell_length_a 6.393
_cell_length_b 6.393
_cell_length_c 6.393
_cell_angle_alpha 90.00
_cell_angle_beta 90.00
_cell_angle_gamma 90.00
_space_group_name_H-M_alt 'F -4 3 m'
_space_group_IT_number 216
_space_group_name_Hall 'F -4 2 3'
loop_
_atom_site_label
_atom_site_fract_x
_atom_site_fract_y
_atom_site_fract_z
Pr1 0.000 0.000 0.000
Zn1 0.250 0.250 0.750
Fe1 0.000 0.000 0.500
# Energy of formation (meV per atom): 428
# Calculated volume (A^3/atom): 21.77

Entry 5:
# Pr6ZnFe13 | the Open Quantum Materials Database | PBE | relaxed
data_Pr6ZnFe13
_cell_length_a 8.026
_cell_length_b 8.026
_cell_length_c 23.087
_cell_angle_alpha 90.00
_cell_angle_beta 90.00
_cell_angle_gamma 90.00
_space_group_name_H-M_alt 'I 4/m c m'
_space_group_IT_number 140
_space_group_name_Hall '-I 4 2c'
loop_
_atom_site_label
_atom_site_fract_x
_atom_site_fract_y
_atom_site_fract_z
Pr1 0.000 0.000 0.108
Pr2 0.163 0.337 0.188
Zn1 0.000 0.000 0.250
Fe1 0.000 0.500 0.000
Fe2 0.067 0.210 0.500
Fe3 0.113 0.387 0.406
Fe4 0.179 0.321 0.059
# Energy of formation (meV per atom): -7
# Calculated volume (A^3/atom): 18.59

Entry 6:
# PrZnFe | the Open Quantum Materials Database | PBE | relaxed
data_PrZnFe
_cell_length_a 6.774
_cell_length_b 6.774
_cell_length_c 6.774
_cell_angle_alpha 90.00
_cell_angle_beta 90.00
_cell_angle_gamma 90.00
_space_group_name_H-M_alt 'F -4 3 m'
_space_group_IT_number 216
_space_group_name_Hall 'F -4 2 3'
loop_
_atom_site_label
_atom_site_fract_x
_atom_site_fract_y
_atom_site_fract_z
Pr1 0.000 0.000 0.000
Zn1 0.250 0.250 0.250
Fe1 0.250 0.250 0.750
# Energy of formation (meV per atom): 818
# Calculated volume (A^3/atom): 25.90